1.
First-principles (PBE-GGA) data for a geometry-optimized Ba2CaGaH structure, as listed in Alexandria.

The calculation puts the final energy at -2.66 eV per atom.

The space group is P4/mmm (No. 123) and the conventional cell measures 5.5334, 5.5334 and 5.0473 Å, with angles of 90.00, 90.00 and 90.00 degrees. Symmetry generates all atoms from Ba at (0.0000, 0.5000, 0.0000), Ca at (0.0000, 0.0000, 0.5000), Ga at (0.5000, 0.5000, 0.5000) and H at (0.0000, 0.0000, 0.0000).

=====

2.
First-principles (PBE-GGA) data for a geometry-optimized TaCrPt4 structure, as listed in Alexandria.

The formation energy comes out at -0.12 eV per atom. The calculation puts the final energy at -7.72 eV per atom.

The space group is F-43m (No. 216) and the conventional cell measures 7.3768, 7.3768 and 7.3768 Å, with angles of 90.00, 90.00 and 90.00 degrees. Symmetry generates all atoms from Ta at (0.0000, 0.0000, 0.0000), Cr at (0.2500, 0.2500, 0.7500) and Pt at (0.1248, 0.1248, 0.3752).

=====

3.
First-principles (PBE-GGA) data for a geometry-optimized Y2Zn12Cu3Pd structure, as listed in Alexandria.

The formation energy comes out at -0.07 eV per atom. The calculation puts the final energy at -2.61 eV per atom.

The space group is R-3m (No. 166, hexagonal axes) and the conventional cell measures 5.7304, 5.7304 and 33.5674 Å, with angles of 90.00, 90.00 and 120.00 degrees. Symmetry generates all atoms from Y at (0.0000, 0.0000, 0.1396), Zn at (0.0099, 0.5050, 0.8900), Zn at (0.0312, 0.5156, 0.6143), Cu at (0.0000, 0.5000, 0.0000) and Pd at (0.0000, 0.0000, 0.5000).

=====

4.
First-principles (PBE-GGA) data for a geometry-optimized Y3Rh structure, as listed in Alexandria.

The formation energy comes out at -0.36 eV per atom. The calculation puts the final energy at -7.05 eV per atom.

The space group is Pmmn (No. 59, origin choice 2) and the conventional cell measures 3.7189, 6.7273 and 9.1042 Å, with angles of 90.00, 90.00 and 90.00 degrees. Symmetry generates all atoms from Y at (0.2500, 0.0044, 0.1685), Y at (0.2500, 0.2500, 0.5445) and Rh at (0.2500, 0.7500, 0.6823).

=====

5.
First-principles (PBE-GGA) data for a geometry-optimized Ho2InGa3Cu4 structure, as listed in Alexandria.

The formation energy comes out at -0.37 eV per atom. The calculation puts the final energy at -4.11 eV per atom.

The space group is P-4m2 (No. 115) and the conventional cell measures 4.1579, 4.1579 and 10.3594 Å, with angles of 90.00, 90.00 and 90.00 degrees. Symmetry generates all atoms from Ho at (0.0000, 0.5000, 0.2335), In at (0.0000, 0.0000, 0.5000), Ga at (0.0000, 0.5000, 0.8755), Ga at (0.5000, 0.5000, 0.5000), Cu at (0.0000, 0.0000, 0.0000), Cu at (0.0000, 0.5000, 0.6486) and Cu at (0.5000, 0.5000, 0.0000).

=====

6.
First-principles (PBE-GGA) data for a geometry-optimized YZrPbAu structure, as listed in Alexandria.

The formation energy comes out at -0.39 eV per atom. The calculation puts the final energy at -5.89 eV per atom.

The space group is F-43m (No. 216) and the conventional cell measures 7.2417, 7.2417 and 7.2417 Å, with angles of 90.00, 90.00 and 90.00 degrees. Symmetry generates all atoms from Y at (0.0000, 0.0000, 0.0000), Zr at (0.0000, 0.0000, 0.5000), Pb at (0.2500, 0.2500, 0.7500) and Au at (0.2500, 0.2500, 0.2500).

=====

7.
First-principles (PBE-GGA) data for a geometry-optimized MnAgAu2 structure, as listed in Alexandria.

The formation energy comes out at 0.02 eV per atom. The calculation puts the final energy at -4.63 eV per atom.

The space group is Cm (No. 8) and the conventional cell measures 9.6883, 2.9297 and 4.9431 Å, with angles of 90.00, 100.80 and 90.00 degrees. Symmetry generates all atoms from Mn at (0.0000, 0.0000, 0.0000), Ag at (0.2479, 0.5000, 0.2630), Au at (0.0031, 0.5000, 0.5017) and Au at (0.2593, 0.0000, 0.7772).

=====

8.
First-principles (PBE-GGA) data for a geometry-optimized BeZn2As structure, as listed in Alexandria.

The calculation puts the energy above the lowest structure with this stoichiometry at 29 meV per atom. The formation energy comes out at 0.20 eV per atom. The calculation puts the final energy at -2.53 eV per atom.

The space group is Pm (No. 6) and the conventional cell measures 2.6234, 3.4019 and 6.9357 Å, with angles of 90.00, 95.75 and 90.00 degrees. Symmetry generates all atoms from Be at (0.0000, 0.0000, 0.0000), Zn at (0.0740, 0.0000, 0.4461), Zn at (0.5256, 0.5000, 0.1936) and As at (0.1018, 0.5000, 0.7741).

=====

9.
First-principles (PBE-GGA) data for a geometry-optimized KYSi2 structure, as listed in Alexandria.

The calculation puts the energy above the lowest structure with this stoichiometry at 164 meV per atom. The energy relative to the elements, uncorrected comes out at -0.087 eV/atom. The calculation puts the final energy at -4.69 eV per atom.

The space group is R3m (No. 160, hexagonal axes) and the conventional cell measures 3.9151, 3.9151 and 26.1064 Å, with angles of 90.00, 90.00 and 120.00 degrees. Symmetry generates all atoms from K at (0.0000, 0.0000, 0.0000), Y at (0.0000, 0.0000, 0.1932), Si at (0.0000, 0.0000, 0.4568) and Si at (0.0000, 0.0000, 0.7623).

=====

10.
First-principles (PBE-GGA) data for a geometry-optimized U2P4Rh3 structure, as listed in Alexandria.

The formation energy comes out at -0.79 eV per atom. The calculation puts the final energy at -8.16 eV per atom.

The space group is Cmce (No. 64) and the conventional cell measures 5.6327, 14.0047 and 7.2410 Å, with angles of 90.00, 90.00 and 90.00 degrees. Symmetry generates all atoms from U at (0.0000, 0.1079, 0.0774), P at (0.0000, 0.1805, 0.4621), P at (0.2500, 0.0464, 0.7500), Rh at (0.0000, 0.0000, 0.5000) and Rh at (0.2500, 0.2168, 0.7500).

=====

11.
First-principles (PBE-GGA) data for a geometry-optimized ScZnGe2 structure, as listed in Alexandria.

The formation energy comes out at -0.17 eV per atom. The calculation puts the final energy at -4.38 eV per atom.

The space group is I-42d (No. 122) and the conventional cell measures 7.2622, 7.2622 and 5.7420 Å, with angles of 90.00, 90.00 and 90.00 degrees. Symmetry generates all atoms from Sc at (0.0000, 0.0000, 0.0000), Zn at (0.0000, 0.0000, 0.5000) and Ge at (0.2155, 0.7500, 0.6250).

=====

12.
First-principles (PBE-GGA) data for a geometry-optimized Mn2NbHRh structure, as listed in Alexandria.

The calculation puts the energy above the lowest structure with this stoichiometry at 55 meV per atom. The calculation puts the final energy at -7.88 eV per atom.

The space group is P4/mmm (No. 123) and the conventional cell measures 3.7498, 3.7498 and 3.9815 Å, with angles of 90.00, 90.00 and 90.00 degrees. Symmetry generates all atoms from Mn at (0.0000, 0.5000, 0.0000), Nb at (0.0000, 0.0000, 0.5000), H at (0.0000, 0.0000, 0.0000) and Rh at (0.5000, 0.5000, 0.5000).

=====

13.
First-principles (PBE-GGA) data for a geometry-optimized Cs2PdSeN structure, as listed in Alexandria.

The energy relative to the elements, uncorrected comes out at 0.370 eV/atom. The calculation puts the final energy at -3.37 eV per atom.

The space group is P4/mmm (No. 123) and the conventional cell measures 6.7401, 6.7401 and 4.7042 Å, with angles of 90.00, 90.00 and 90.00 degrees. Symmetry generates all atoms from Cs at (0.0000, 0.5000, 0.0000), Pd at (0.0000, 0.0000, 0.0000), Se at (0.0000, 0.0000, 0.5000) and N at (0.5000, 0.5000, 0.5000).

=====

14.
First-principles (PBE-GGA) data for a geometry-optimized CdGa2H2 structure, as listed in Alexandria.

The calculation puts the energy above the lowest structure with this stoichiometry at 0 meV per atom. The calculation puts the final energy at -2.33 eV per atom.

The space group is P4/mbm (No. 127) and the conventional cell measures 7.1504, 7.1504 and 2.7798 Å, with angles of 90.00, 90.00 and 90.00 degrees. Symmetry generates all atoms from Cd at (0.0000, 0.0000, 0.0000), Ga at (0.1309, 0.3691, 0.5000) and H at (0.1048, 0.6048, 0.0000).

=====

15.
First-principles (PBE-GGA) data for a geometry-optimized SmTm2Cd2In2 structure, as listed in Alexandria.

The formation energy comes out at -0.25 eV per atom. The calculation puts the final energy at -3.24 eV per atom.

The space group is R-3m (No. 166, hexagonal axes) and the conventional cell measures 4.9473, 4.9473 and 26.6332 Å, with angles of 90.00, 90.00 and 120.00 degrees. Symmetry generates all atoms from Sm at (0.0000, 0.0000, 0.0000), Tm at (0.0000, 0.0000, 0.1291), Cd at (0.0000, 0.0000, 0.4020) and In at (0.0000, 0.0000, 0.2570).

=====

16.
First-principles (PBE-GGA) data for a geometry-optimized CePrPa structure, as listed in Alexandria.

The calculation puts the energy above the lowest structure with this stoichiometry at 136 meV per atom. The formation energy comes out at 0.30 eV per atom. The calculation puts the final energy at -6.43 eV per atom.

The space group is P-6m2 (No. 187) and the conventional cell measures 5.4513, 5.4513 and 3.3176 Å, with angles of 90.00, 90.00 and 120.00 degrees. Symmetry generates all atoms from Ce at (0.0000, 0.0000, 0.0000), Pr at (0.3333, 0.6667, 0.5000) and Pa at (0.6667, 0.3333, 0.0000).

=====

17.
First-principles (PBE-GGA) data for a geometry-optimized PaAg3I8 structure, as listed in Alexandria.

The energy relative to the elements, uncorrected comes out at -0.555 eV/atom. The calculation puts the final energy at -3.09 eV per atom.

The space group is C2/m (No. 12) and the conventional cell measures 15.3925, 8.8932 and 8.9515 Å, with angles of 90.00, 125.36 and 90.00 degrees. Symmetry generates all atoms from Pa at (0.0000, 0.0000, 0.0000), Ag at (0.0000, 0.5000, 0.0000), Ag at (0.2500, 0.2500, 0.5000), I at (0.0073, 0.2295, 0.7668), I at (0.2259, 0.5000, 0.2770) and I at (0.2362, 0.0000, 0.2248).

=====

18.
First-principles (PBE-GGA) data for a geometry-optimized ScTaNi structure, as listed in Alexandria.

The calculation puts the energy above the lowest structure with this stoichiometry at 63 meV per atom. The formation energy comes out at -0.10 eV per atom. The calculation puts the final energy at -8.09 eV per atom.

The space group is Cm (No. 8) and the conventional cell measures 9.6618, 4.3407 and 5.9211 Å, with angles of 90.00, 124.22 and 90.00 degrees. Symmetry generates all atoms from Sc at (0.0000, 0.0000, 0.0000), Sc at (0.2391, 0.5000, 0.1123), Ta at (0.1464, 0.0000, 0.6558), Ta at (0.4160, 0.0000, 0.5666), Ni at (0.2144, 0.5000, 0.5149) and Ni at (0.4078, 0.0000, 0.1434).

=====

19.
First-principles (PBE-GGA) data for a geometry-optimized YScBe2 structure, as listed in Alexandria.

The calculation puts the energy above the lowest structure with this stoichiometry at 382 meV per atom. The formation energy comes out at 0.41 eV per atom. The calculation puts the final energy at -4.65 eV per atom.

The space group is R-3m (No. 166, hexagonal axes) and the conventional cell measures 3.4363, 3.4363 and 23.6828 Å, with angles of 90.00, 90.00 and 120.00 degrees. Symmetry generates all atoms from Y at (0.0000, 0.0000, 0.0000), Sc at (0.0000, 0.0000, 0.5000) and Be at (0.0000, 0.0000, 0.2454).

=====

20.
First-principles (PBE-GGA) data for a geometry-optimized TlInFeRh2 structure, as listed in Alexandria.

The formation energy comes out at 1.64 eV per atom. The calculation puts the final energy at -4.02 eV per atom.

The space group is P4/mmm (No. 123) and the conventional cell measures 4.9859, 4.9859 and 5.2809 Å, with angles of 90.00, 90.00 and 90.00 degrees. Symmetry generates all atoms from Tl at (0.0000, 0.0000, 0.0000), In at (0.0000, 0.0000, 0.5000), Fe at (0.5000, 0.5000, 0.5000) and Rh at (0.0000, 0.5000, 0.0000).